1 | # AcPr2Ni2 | the Alexandria database | PBE-GGA | relaxed
data_AcPr2Ni2
_chemical_formula_sum 'Ac2 Pr4 Ni4'
_cell_length_a 11.907
_cell_length_b 4.089
_cell_length_c 5.793
_cell_angle_alpha 90.00
_cell_angle_beta 105.13
_cell_angle_gamma 90.00
_symmetry_space_group_name_H-M 'C 1 2/m 1'
_symmetry_Int_Tables_number 12
loop_
_symmetry_equiv_pos_as_xyz
'x,y,z'
'-x,-y,-z'
'-x,y,-z'
'x,-y,z'
'x+1/2,y+1/2,z'
'-x+1/2,-y+1/2,-z'
'-x+1/2,y+1/2,-z'
'x+1/2,-y+1/2,z'
loop_
_atom_site_label
_atom_site_fract_x
_atom_site_fract_y
_atom_site_fract_z
_atom_site_occupancy
Ac1 0.000 0.000 0.000 1
Pr1 0.152 0.500 0.592 1
Ni1 0.225 0.500 0.106 1
# **Density of states at the Fermi level**: 6.2 states/eV/f.u.

2 | # AcPr2Ni2 | the Alexandria database | PBE-GGA | relaxed
data_AcPr2Ni2
_chemical_formula_sum 'Ac2 Pr4 Ni4'
_cell_length_a 4.532
_cell_length_b 14.944
_cell_length_c 3.935
_cell_angle_alpha 90.00
_cell_angle_beta 90.00
_cell_angle_gamma 90.00
_symmetry_space_group_name_H-M 'C m m m'
_symmetry_Int_Tables_number 65
_symmetry_space_group_name_Hall '-C 2 2'
loop_
_atom_site_label
_atom_site_fract_x
_atom_site_fract_y
_atom_site_fract_z
_atom_site_occupancy
Ac1 0.000 0.000 0.000 1
Pr1 0.000 0.344 0.500 1
Ni1 0.000 0.204 0.000 1
# **Density of states at the Fermi level**: 4.5 states/eV/f.u.

List of relative energies, unit meV/atom: 1 58; 2 0

1 | # Ac2PrNi6 | the Alexandria database | PBE-GGA | relaxed
data_Ac2PrNi6
_chemical_formula_sum 'Ac2 Pr1 Ni6'
_cell_length_a 7.1084
_cell_length_b 7.1084
_cell_length_c 4.1579
_cell_angle_alpha 90.00
_cell_angle_beta 90.00
_cell_angle_gamma 120.00
_symmetry_space_group_name_H-M 'P 6/m m m'
_symmetry_Int_Tables_number 191
_symmetry_space_group_name_Hall '-P 6 2'
loop_
_atom_site_label
_atom_site_fract_x
_atom_site_fract_y
_atom_site_fract_z
_atom_site_occupancy
Ac1 0.3333 0.6667 0.0000 1
Pr1 0.0000 0.0000 0.0000 1
Ni1 0.0000 0.3311 0.5000 1
# **Density of states at the Fermi level**: 10.9 states/eV/f.u.

2 | # Ac2PrNi6 | the Alexandria database | PBE-GGA | relaxed
data_Ac2PrNi6
_chemical_formula_sum 'Ac4 Pr2 Ni12'
_cell_length_a 3.983
_cell_length_b 7.028
_cell_length_c 13.938
_cell_angle_alpha 90.00
_cell_angle_beta 90.00
_cell_angle_gamma 90.00
_symmetry_space_group_name_H-M 'I m m m'
_symmetry_Int_Tables_number 71
_symmetry_space_group_name_Hall '-I 2 2'
loop_
_atom_site_label
_atom_site_fract_x
_atom_site_fract_y
_atom_site_fract_z
_atom_site_occupancy
Ac1 0.000 0.000 0.158 1
Pr1 0.000 0.500 0.000 1
Ni1 0.000 0.166 0.360 1
Ni2 0.000 0.339 0.500 1
# **Density of states at the Fermi level**: 8.6 states/eV/f.u.

List of relative energies, unit meV/atom: 1 0; 2 218

1 | # AcPrNiRh | the Alexandria database | PBE-GGA | relaxed
data_AcPrNiRh
_chemical_formula_sum 'Ac2 Pr2 Ni2 Rh2'
_cell_length_a 4.273
_cell_length_b 4.059
_cell_length_c 11.302
_cell_angle_alpha 90.00
_cell_angle_beta 90.00
_cell_angle_gamma 90.00
_symmetry_space_group_name_H-M 'A m m 2'
_symmetry_Int_Tables_number 38
loop_
_symmetry_equiv_pos_as_xyz
'x,y,z'
'-x,-y,z'
'-x,y,z'
'x,-y,z'
'x,y+1/2,z+1/2'
'-x,-y+1/2,z+1/2'
'-x,y+1/2,z+1/2'
'x,-y+1/2,z+1/2'
loop_
_atom_site_label
_atom_site_fract_x
_atom_site_fract_y
_atom_site_fract_z
_atom_site_occupancy
Ac1 0.000 0.000 0.000 1
Pr1 0.500 0.000 0.726 1
Ni1 0.000 0.000 0.282 1
Rh1 0.500 0.000 0.439 1
# **Density of states at the Fermi level**: 2.5 states/eV/f.u.

2 | # AcPrNiRh | the Alexandria database | PBE-GGA | relaxed
data_AcPrNiRh
_chemical_formula_sum 'Ac4 Pr4 Ni4 Rh4'
_cell_length_a 7.250
_cell_length_b 7.250
_cell_length_c 7.250
_cell_angle_alpha 90.00
_cell_angle_beta 90.00
_cell_angle_gamma 90.00
_symmetry_space_group_name_H-M 'F -4 3 m'
_symmetry_Int_Tables_number 216
_symmetry_space_group_name_Hall 'F -4 2 3'
loop_
_atom_site_label
_atom_site_fract_x
_atom_site_fract_y
_atom_site_fract_z
_atom_site_occupancy
Ac1 0.000 0.000 0.000 1
Pr1 0.000 0.000 0.500 1
Ni1 0.250 0.250 0.250 1
Rh1 0.250 0.250 0.750 1
# **Density of states at the Fermi level**: 2.3 states/eV/f.u.

List of relative energies, unit meV/atom: 1 0; 2 107

1 | # AcPrNiRu | the Alexandria database | PBE-GGA | relaxed
data_AcPrNiRu
_chemical_formula_sum 'Ac2 Pr2 Ni2 Ru2'
_cell_length_a 4.177
_cell_length_b 4.156
_cell_length_c 11.353
_cell_angle_alpha 90.00
_cell_angle_beta 90.00
_cell_angle_gamma 90.00
_symmetry_space_group_name_H-M 'A m m 2'
_symmetry_Int_Tables_number 38
loop_
_symmetry_equiv_pos_as_xyz
'x,y,z'
'-x,-y,z'
'-x,y,z'
'x,-y,z'
'x,y+1/2,z+1/2'
'-x,-y+1/2,z+1/2'
'-x,y+1/2,z+1/2'
'x,-y+1/2,z+1/2'
loop_
_atom_site_label
_atom_site_fract_x
_atom_site_fract_y
_atom_site_fract_z
_atom_site_occupancy
Ac1 0.000 0.000 0.000 1
Pr1 0.500 0.000 0.281 1
Ni1 0.500 0.000 0.582 1
Ru1 0.000 0.000 0.712 1
# **Density of states at the Fermi level**: 3.2 states/eV/f.u.

2 | # AcPrNiRu | the Alexandria database | PBE-GGA | relaxed
data_AcPrNiRu
_chemical_formula_sum 'Ac4 Pr4 Ni4 Ru4'
_cell_length_a 7.222
_cell_length_b 7.222
_cell_length_c 7.222
_cell_angle_alpha 90.00
_cell_angle_beta 90.00
_cell_angle_gamma 90.00
_symmetry_space_group_name_H-M 'F -4 3 m'
_symmetry_Int_Tables_number 216
_symmetry_space_group_name_Hall 'F -4 2 3'
loop_
_atom_site_label
_atom_site_fract_x
_atom_site_fract_y
_atom_site_fract_z
_atom_site_occupancy
Ac1 0.000 0.000 0.000 1
Pr1 0.000 0.000 0.500 1
Ni1 0.250 0.250 0.250 1
Ru1 0.250 0.250 0.750 1
# **Density of states at the Fermi level**: 4.5 states/eV/f.u.

List of relative energies, unit meV/atom: 1 0; 2 113

1 | # AcPrSiNi | the Alexandria database | PBE-GGA | relaxed
data_AcPrSiNi
_chemical_formula_sum 'Ac3 Pr3 Si3 Ni3'
_cell_length_a 4.0919
_cell_length_b 4.0919
_cell_length_c 23.3127
_cell_angle_alpha 90.00
_cell_angle_beta 90.00
_cell_angle_gamma 120.00
_symmetry_space_group_name_H-M 'R 3 m'
_symmetry_Int_Tables_number 160
_symmetry_space_group_name_Hall 'R 3 -2"'
loop_
_atom_site_label
_atom_site_fract_x
_atom_site_fract_y
_atom_site_fract_z
_atom_site_occupancy
Ac1 0.0000 0.0000 0.0000 1
Pr1 0.0000 0.0000 0.8251 1
Si1 0.0000 0.0000 0.5716 1
Ni1 0.0000 0.0000 0.2476 1
# **Density of states at the Fermi level**: 4.7 states/eV/f.u.

2 | # AcPrSiNi | the Alexandria database | PBE-GGA | relaxed
data_AcPrSiNi
_chemical_formula_sum 'Ac4 Pr4 Si4 Ni4'
_cell_length_a 7.407
_cell_length_b 7.407
_cell_length_c 7.407
_cell_angle_alpha 90.00
_cell_angle_beta 90.00
_cell_angle_gamma 90.00
_symmetry_space_group_name_H-M 'F -4 3 m'
_symmetry_Int_Tables_number 216
_symmetry_space_group_name_Hall 'F -4 2 3'
loop_
_atom_site_label
_atom_site_fract_x
_atom_site_fract_y
_atom_site_fract_z
_atom_site_occupancy
Ac1 0.000 0.000 0.000 1
Pr1 0.000 0.000 0.500 1
Si1 0.250 0.250 0.750 1
Ni1 0.250 0.250 0.250 1
# **Density of states at the Fermi level**: 1.7 states/eV/f.u.

List of relative energies, unit meV/atom: 1 0; 2 214

1 | # AcPrZnNi | the Alexandria database | PBE-GGA | relaxed
data_AcPrZnNi
_chemical_formula_sum 'Ac4 Pr4 Zn4 Ni4'
_cell_length_a 7.436
_cell_length_b 7.436
_cell_length_c 7.436
_cell_angle_alpha 90.00
_cell_angle_beta 90.00
_cell_angle_gamma 90.00
_symmetry_space_group_name_H-M 'F -4 3 m'
_symmetry_Int_Tables_number 216
_symmetry_space_group_name_Hall 'F -4 2 3'
loop_
_atom_site_label
_atom_site_fract_x
_atom_site_fract_y
_atom_site_fract_z
_atom_site_occupancy
Ac1 0.000 0.000 0.000 1
Pr1 0.000 0.000 0.500 1
Zn1 0.250 0.250 0.250 1
Ni1 0.250 0.250 0.750 1
# **Density of states at the Fermi level**: 2.8 states/eV/f.u.

2 | # AcPrZnNi | the Alexandria database | PBE-GGA | relaxed
data_AcPrZnNi
_chemical_formula_sum 'Ac2 Pr2 Zn2 Ni2'
_cell_length_a 4.510
_cell_length_b 4.024
_cell_length_c 11.790
_cell_angle_alpha 90.00
_cell_angle_beta 90.00
_cell_angle_gamma 90.00
_symmetry_space_group_name_H-M 'A m m 2'
_symmetry_Int_Tables_number 38
loop_
_symmetry_equiv_pos_as_xyz
'x,y,z'
'-x,-y,z'
'-x,y,z'
'x,-y,z'
'x,y+1/2,z+1/2'
'-x,-y+1/2,z+1/2'
'-x,y+1/2,z+1/2'
'x,-y+1/2,z+1/2'
loop_
_atom_site_label
_atom_site_fract_x
_atom_site_fract_y
_atom_site_fract_z
_atom_site_occupancy
Ac1 0.000 0.000 0.000 1
Pr1 0.500 0.000 0.272 1
Zn1 0.000 0.000 0.710 1
Ni1 0.500 0.000 0.596 1
# **Density of states at the Fermi level**: 3.6 states/eV/f.u.

List of relative energies, unit meV/atom: 1 91; 2 0

1 | # Ac2PuNi | the Alexandria database | PBE-GGA | relaxed
data_Ac2PuNi
_chemical_formula_sum 'Ac6 Pu3 Ni3'
_cell_length_a 3.9117
_cell_length_b 3.9117
_cell_length_c 32.1953
_cell_angle_alpha 90.00
_cell_angle_beta 90.00
_cell_angle_gamma 120.00
_symmetry_space_group_name_H-M 'R -3 m'
_symmetry_Int_Tables_number 166
_symmetry_space_group_name_Hall '-R 3 2"'
loop_
_atom_site_label
_atom_site_fract_x
_atom_site_fract_y
_atom_site_fract_z
_atom_site_occupancy
Ac1 0.0000 0.0000 0.1106 1
Pu1 0.0000 0.0000 0.0000 1
Ni1 0.0000 0.0000 0.5000 1
# **Density of states at the Fermi level**: 13.2 states/eV/f.u.

2 | # Ac2PuNi | the Alexandria database | PBE-GGA | relaxed
data_Ac2PuNi
_chemical_formula_sum 'Ac2 Pu1 Ni1'
_cell_length_a 3.718
_cell_length_b 3.718
_cell_length_c 8.977
_cell_angle_alpha 90.00
_cell_angle_beta 90.00
_cell_angle_gamma 90.00
_symmetry_space_group_name_H-M 'P 4/m m m'
_symmetry_Int_Tables_number 123
_symmetry_space_group_name_Hall '-P 4 2'
loop_
_atom_site_label
_atom_site_fract_x
_atom_site_fract_y
_atom_site_fract_z
_atom_site_occupancy
Ac1 0.000 0.000 0.199 1
Pu1 0.500 0.500 0.500 1
Ni1 0.500 0.500 0.000 1
# **Density of states at the Fermi level**: 9.4 states/eV/f.u.

List of relative energies, unit meV/atom: 1 198; 2 0

1 | # AcPuNiRu | the Alexandria database | PBE-GGA | relaxed
data_AcPuNiRu
_chemical_formula_sum 'Ac3 Pu3 Ni3 Ru3'
_cell_length_a 4.3679
_cell_length_b 4.3679
_cell_length_c 17.0948
_cell_angle_alpha 90.00
_cell_angle_beta 90.00
_cell_angle_gamma 120.00
_symmetry_space_group_name_H-M 'R 3 m'
_symmetry_Int_Tables_number 160
_symmetry_space_group_name_Hall 'R 3 -2"'
loop_
_atom_site_label
_atom_site_fract_x
_atom_site_fract_y
_atom_site_fract_z
_atom_site_occupancy
Ac1 0.0000 0.0000 0.0000 1
Pu1 0.0000 0.0000 0.5003 1
Ni1 0.0000 0.0000 0.2093 1
Ru1 0.0000 0.0000 0.7899 1
# **Density of states at the Fermi level**: 5.6 states/eV/f.u.

2 | # AcPuNiRu | the Alexandria database | PBE-GGA | relaxed
data_AcPuNiRu
_chemical_formula_sum 'Ac4 Pu4 Ni4 Ru4'
_cell_length_a 7.061
_cell_length_b 7.061
_cell_length_c 7.061
_cell_angle_alpha 90.00
_cell_angle_beta 90.00
_cell_angle_gamma 90.00
_symmetry_space_group_name_H-M 'F -4 3 m'
_symmetry_Int_Tables_number 216
_symmetry_space_group_name_Hall 'F -4 2 3'
loop_
_atom_site_label
_atom_site_fract_x
_atom_site_fract_y
_atom_site_fract_z
_atom_site_occupancy
Ac1 0.000 0.000 0.000 1
Pu1 0.000 0.000 0.500 1
Ni1 0.250 0.250 0.750 1
Ru1 0.250 0.250 0.250 1
# **Density of states at the Fermi level**: 10.5 states/eV/f.u.

List of relative energies, unit meV/atom: 1 0; 2 210